[1]
Compound: CrN
Source: Alexandria via LeMat-Bulk
Functional: SCAN
Structure: PBEsol geometry

CIF file:
```
data_CrN
_chemical_formula_sum 'Cr4 N4'
_space_group_name_H-M_alt 'F m -3 m'
_space_group_IT_number 225
_space_group_name_Hall '-F 4 2 3'
_cell_length_a 4.062
_cell_length_b 4.062
_cell_length_c 4.062
_cell_angle_alpha 90.00
_cell_angle_beta 90.00
_cell_angle_gamma 90.00
loop_
_atom_site_label
_atom_site_type_symbol
_atom_site_fract_x
_atom_site_fract_y
_atom_site_fract_z
_atom_site_occupancy
Cr1 Cr 0.000 0.000 0.000 1
N1 N 0.000 0.000 0.500 1
```

Computed properties:
Formation energy (no corrections): -854 meV per atom

[2]
Compound: ScIn2Cu
Source: Alexandria via LeMat-Bulk
Functional: SCAN
Structure: PBEsol geometry

CIF file:
```
data_ScIn2Cu
_chemical_formula_sum 'Sc1 In2 Cu1'
_space_group_name_H-M_alt 'P 4/m m m'
_space_group_IT_number 123
_space_group_name_Hall '-P 4 2'
_cell_length_a 4.266
_cell_length_b 4.266
_cell_length_c 4.174
_cell_angle_alpha 90.00
_cell_angle_beta 90.00
_cell_angle_gamma 90.00
loop_
_atom_site_label
_atom_site_type_symbol
_atom_site_fract_x
_atom_site_fract_y
_atom_site_fract_z
_atom_site_occupancy
Sc1 Sc 0.000 0.000 0.000 1
In1 In 0.000 0.500 0.500 1
Cu1 Cu 0.500 0.500 0.000 1
```

Computed properties:
VASP energy: -24.3645 eV per atom

[3]
Compound: AlCu2Au
Source: Alexandria via LeMat-Bulk
Functional: SCAN
Structure: PBEsol geometry

CIF file:
```
data_AlCu2Au
_chemical_formula_sum 'Al4 Cu8 Au4'
_space_group_name_H-M_alt 'F -4 3 m'
_space_group_IT_number 216
_space_group_name_Hall 'F -4 2 3'
_cell_length_a 6.001
_cell_length_b 6.001
_cell_length_c 6.001
_cell_angle_alpha 90.00
_cell_angle_beta 90.00
_cell_angle_gamma 90.00
loop_
_atom_site_label
_atom_site_type_symbol
_atom_site_fract_x
_atom_site_fract_y
_atom_site_fract_z
_atom_site_occupancy
Al1 Al 0.000 0.000 0.000 1
Cu1 Cu 0.000 0.000 0.500 1
Cu2 Cu 0.250 0.250 0.750 1
Au1 Au 0.250 0.250 0.250 1
```

Computed properties:
VASP energy: -27.1509 eV per atom

[4]
Compound: NiPtRh2
Source: Alexandria via LeMat-Bulk
Functional: SCAN
Structure: PBEsol geometry

CIF file:
```
data_NiPtRh2
_chemical_formula_sum 'Ni3 Pt3 Rh6'
_space_group_name_H-M_alt 'R -3 m'
_space_group_IT_number 166
_space_group_name_Hall '-R 3 2"'
_cell_length_a 2.6778
_cell_length_b 2.6778
_cell_length_c 25.5608
_cell_angle_alpha 90.00
_cell_angle_beta 90.00
_cell_angle_gamma 120.00
loop_
_atom_site_label
_atom_site_type_symbol
_atom_site_fract_x
_atom_site_fract_y
_atom_site_fract_z
_atom_site_occupancy
Ni1 Ni 0.0000 0.0000 0.0000 1
Pt1 Pt 0.0000 0.0000 0.5000 1
Rh1 Rh 0.0000 0.0000 0.2553 1
```

Computed properties:
VASP energy: -38.4688 eV per atom

[5]
Compound: TaOs5
Source: Alexandria via LeMat-Bulk
Functional: SCAN
Structure: PBEsol geometry

CIF file:
```
data_TaOs5
_chemical_formula_sum 'Ta1 Os5'
_space_group_name_H-M_alt 'P -6 2 m'
_space_group_IT_number 189
_space_group_name_Hall 'P -6 -2'
_cell_length_a 4.7886
_cell_length_b 4.7886
_cell_length_c 4.3945
_cell_angle_alpha 90.00
_cell_angle_beta 90.00
_cell_angle_gamma 120.00
loop_
_atom_site_label
_atom_site_type_symbol
_atom_site_fract_x
_atom_site_fract_y
_atom_site_fract_z
_atom_site_occupancy
Ta1 Ta 0.0000 0.0000 0.0000 1
Os1 Os 0.0000 0.3457 0.5000 1
Os2 Os 0.3333 0.6667 0.0000 1
```

Computed properties:
Energy above the lowest structure with this stoichiometry: 0.7 kJ per mole of atoms

[6]
Compound: OsRuAu3
Source: Alexandria via LeMat-Bulk
Functional: SCAN
Structure: PBEsol geometry

CIF file:
```
data_OsRuAu3
_chemical_formula_sum 'Os1 Ru1 Au3'
_space_group_name_H-M_alt 'P m -3 m'
_space_group_IT_number 221
_space_group_name_Hall '-P 4 2 3'
_cell_length_a 4.820
_cell_length_b 4.820
_cell_length_c 4.820
_cell_angle_alpha 90.00
_cell_angle_beta 90.00
_cell_angle_gamma 90.00
loop_
_atom_site_label
_atom_site_type_symbol
_atom_site_fract_x
_atom_site_fract_y
_atom_site_fract_z
_atom_site_occupancy
Os1 Os 0.000 0.000 0.000 1
Ru1 Ru 0.500 0.500 0.500 1
Au1 Au 0.000 0.500 0.500 1
```

Computed properties:
VASP energy: -60.7084 eV per atom

[7]
Compound: Sr2LaSi
Source: Alexandria via LeMat-Bulk
Functional: SCAN
Structure: PBEsol geometry

CIF file:
```
data_Sr2LaSi
_chemical_formula_sum 'Sr4 La2 Si2'
_space_group_name_H-M_alt 'I m m m'
_space_group_IT_number 71
_space_group_name_Hall '-I 2 2'
_cell_length_a 3.866
_cell_length_b 4.764
_cell_length_c 16.417
_cell_angle_alpha 90.00
_cell_angle_beta 90.00
_cell_angle_gamma 90.00
loop_
_atom_site_label
_atom_site_type_symbol
_atom_site_fract_x
_atom_site_fract_y
_atom_site_fract_z
_atom_site_occupancy
Sr1 Sr 0.000 0.000 0.163 1
La1 La 0.000 0.500 0.000 1
Si1 Si 0.000 0.500 0.500 1
```

Computed properties:
Formation energy (no corrections): -206 meV per atom

[8]
Compound: CdSiIN2
Source: Alexandria via LeMat-Bulk
Functional: SCAN
Structure: PBEsol geometry

CIF file:
```
data_CdSiIN2
_chemical_formula_sum 'Cd1 Si1 I1 N2'
_space_group_name_H-M_alt 'P 4/m m m'
_space_group_IT_number 123
_space_group_name_Hall '-P 4 2'
_cell_length_a 4.267
_cell_length_b 4.267
_cell_length_c 6.049
_cell_angle_alpha 90.00
_cell_angle_beta 90.00
_cell_angle_gamma 90.00
loop_
_atom_site_label
_atom_site_type_symbol
_atom_site_fract_x
_atom_site_fract_y
_atom_site_fract_z
_atom_site_occupancy
Cd1 Cd 0.000 0.000 0.000 1
Si1 Si 0.500 0.500 0.500 1
I1 I 0.000 0.000 0.500 1
N1 N 0.000 0.500 0.000 1
```

Computed properties:
Formation energy (no corrections): 1803 meV per atom

[9]
Compound: Zn2MoSeO7
Source: Alexandria via LeMat-Bulk
Functional: SCAN
Structure: PBEsol geometry

CIF file:
```
data_Zn2MoSeO7
_chemical_formula_sum 'Zn4 Mo2 Se2 O14'
_space_group_name_H-M_alt 'P 1 21 1'
_space_group_IT_number 4
_space_group_name_Hall 'P 2yb'
_cell_length_a 5.140
_cell_length_b 8.352
_cell_length_c 7.188
_cell_angle_alpha 90.00
_cell_angle_beta 99.46
_cell_angle_gamma 90.00
loop_
_atom_site_label
_atom_site_type_symbol
_atom_site_fract_x
_atom_site_fract_y
_atom_site_fract_z
_atom_site_occupancy
Zn1 Zn 0.032 0.000 0.269 1
Zn2 Zn 0.437 0.825 0.983 1
Mo1 Mo 0.425 0.333 0.487 1
Se1 Se 0.032 0.125 0.879 1
O1 O 0.168 0.657 0.950 1
O2 O 0.205 0.304 0.877 1
O3 O 0.214 0.483 0.548 1
O4 O 0.254 0.151 0.450 1
O5 O 0.258 0.023 0.045 1
O6 O 0.295 0.811 0.331 1
O7 O 0.479 0.888 0.729 1
```

Computed properties:
Formation energy (no corrections): -1633 meV per atom

[10]
Compound: TiTlRe3
Source: Alexandria via LeMat-Bulk
Functional: SCAN
Structure: PBEsol geometry

CIF file:
```
data_TiTlRe3
_chemical_formula_sum 'Ti1 Tl1 Re3'
_space_group_name_H-M_alt 'P m -3 m'
_space_group_IT_number 221
_space_group_name_Hall '-P 4 2 3'
_cell_length_a 4.558
_cell_length_b 4.558
_cell_length_c 4.558
_cell_angle_alpha 90.00
_cell_angle_beta 90.00
_cell_angle_gamma 90.00
loop_
_atom_site_label
_atom_site_type_symbol
_atom_site_fract_x
_atom_site_fract_y
_atom_site_fract_z
_atom_site_occupancy
Ti1 Ti 0.000 0.000 0.000 1
Tl1 Tl 0.500 0.500 0.500 1
Re1 Re 0.000 0.000 0.500 1
```

Computed properties:
VASP energy: -58.3092 eV per atom

[11]
Compound: Li2CaHg
Source: Alexandria via LeMat-Bulk
Functional: SCAN
Structure: PBEsol geometry

CIF file:
```
data_Li2CaHg
_chemical_formula_sum 'Li4 Ca2 Hg2'
_space_group_name_H-M_alt 'C 1 2/m 1'
_space_group_IT_number 12
_space_group_name_Hall '-C 2y'
_cell_length_a 10.233
_cell_length_b 4.012
_cell_length_c 4.842
_cell_angle_alpha 90.00
_cell_angle_beta 116.51
_cell_angle_gamma 90.00
loop_
_atom_site_label
_atom_site_type_symbol
_atom_site_fract_x
_atom_site_fract_y
_atom_site_fract_z
_atom_site_occupancy
Li1 Li 0.226 0.000 0.217 1
Ca1 Ca 0.000 0.000 0.500 1
Hg1 Hg 0.000 0.500 0.000 1
```

Computed properties:
VASP energy: -21.0177 eV per atom

[12]
Compound: SrSi6Pd6
Source: Alexandria via LeMat-Bulk
Functional: SCAN
Structure: PBEsol geometry

CIF file:
```
data_SrSi6Pd6
_chemical_formula_sum 'Sr4 Si24 Pd24'
_space_group_name_H-M_alt 'I b a m'
_space_group_IT_number 72
_space_group_name_Hall '-I 2 2c'
_cell_length_a 7.987
_cell_length_b 8.245
_cell_length_c 12.166
_cell_angle_alpha 90.00
_cell_angle_beta 90.00
_cell_angle_gamma 90.00
loop_
_atom_site_label
_atom_site_type_symbol
_atom_site_fract_x
_atom_site_fract_y
_atom_site_fract_z
_atom_site_occupancy
Sr1 Sr 0.000 0.000 0.250 1
Si1 Si 0.066 0.235 0.000 1
Si2 Si 0.163 0.345 0.382 1
Pd1 Pd 0.138 0.359 0.181 1
Pd2 Pd 0.181 0.036 0.500 1
```

Computed properties:
Formation energy (no corrections): -684 meV per atom

no.,calculated volume (Å³ per cell)
1,67.0
2,76.0
3,216.1
4,158.7
5,87.3
6,112.0
7,302.3
8,110.2
9,304.4
10,94.7
11,177.9
12,801.2